# 1
Here is an optimized crystal structure of CsPm2Cu3TeS4 from OQMD. Energies are from GGA-PBE.

a b c (Å): 4.138 14.281 17.924
angles (deg): 90.00 90.00 90.00
Space group Cmcm (No. 63)
Inequivalent atoms, fractional coordinates:
Cs  0.000  0.048  0.250 x4
Pm  0.000  0.187  0.583 x8
Cu  0.000  0.349  0.250 x4
Cu  0.000  0.414  0.536 x8
Te  0.000  0.245  0.750 x4
S  0.000  0.167  0.069 x8
S  0.000  0.441  0.101 x8

Summary:
theoretical density = 5.452 Mg/m³
raw total energy = -4.8417 eV/atom

# 2
Here is an optimized crystal structure of Hf2ZrFe from OQMD. Energies are from GGA-PBE.

a b c (Å): 6.702 6.702 6.702
angles (deg): 90.00 90.00 90.00
Space group F-43m (No. 216)
Inequivalent atoms, fractional coordinates:
Hf  0.000  0.000  0.000 x4
Hf  0.250  0.250  0.250 x4
Zr  0.250  0.250  0.750 x4
Fe  0.000  0.000  0.500 x4

Summary:
ΔH_f (0 K) = 19 kJ per mole of atoms
theoretical density = 11.124 Mg/m³
raw total energy = -8.9952 eV/atom